1.
# AlPb3I

A geometry-optimized AlPb3I structure (PBE-GGA, Alexandria via LeMat-Bulk).

VASP energy: -14.9 eV per cell
E_form (uncorrected): 0.31 eV/atom
Space-group type: Pm-3m (221)
M_tot: 0.00 μB per formula unit
Excess energy over the best structure of this formula in the dataset: 0.000 eV/atom

a = 5.641 Å, b = 5.641 Å, c = 5.641 Å
α = 90.00°, β = 90.00°, γ = 90.00°
Positions (direct):
Al 0.000 0.000 0.000
Pb 0.000 0.000 0.500
Pb 0.000 0.500 0.000
Pb 0.500 0.000 0.000
I 0.500 0.500 0.500

---

2.
# AlHgRu

A geometry-optimized AlHgRu structure (PBE-GGA, Alexandria via LeMat-Bulk).

VASP energy: -50.6 eV per cell
Formation energy: 0.222 eV per atom
Space-group type: Fmm2 (42)
M_tot: 0.00 μB per formula unit
Excess energy over the best structure of this formula in the dataset: 0.277 eV/atom

a = 3.223 Å, b = 4.922 Å, c = 13.114 Å
α = 90.00°, β = 90.00°, γ = 90.00°
Positions (direct):
Al 0.000 0.000 0.000
Al 0.000 0.500 0.500
Al 0.500 0.000 0.500
Al 0.500 0.500 0.000
Hg 0.000 0.000 0.315
Hg 0.000 0.500 0.815
Hg 0.500 0.000 0.815
Hg 0.500 0.500 0.315
Ru 0.000 0.000 0.636
Ru 0.000 0.500 0.136
Ru 0.500 0.000 0.136
Ru 0.500 0.500 0.636

---

Question: Look up the VASP energy of the second one.
Answer: -50.6 eV per cell